! Ca2AsI2 | Alexandria | PBE | optimized geometry; values from VASP
! **Formation energy from raw total energies**: -26.92 kcal/mol of atoms
! **Fermi-level density of states**: 0.04 states/eV per atom
&SYSTEM
  ibrav = 0, nat = 5, ntyp = 3
/
ATOMIC_SPECIES
As 74.92 As.upf
I 126.90 I.upf
Ca 40.08 Ca.upf
CELL_PARAMETERS angstrom
-0.412 4.305 -0.621
0.457 -0.873 -6.357
-6.788 -2.419 3.099
ATOMIC_POSITIONS crystal
As 0.000 0.000 0.000
I 0.676 0.676 0.352
Ca 0.644 0.144 0.288
Ca 0.356 0.856 0.712
I 0.324 0.324 0.648